The following is a DFT calculation (PBE) of an optimized crystal structure of Cs3Li2NpCl9.

Geometry as POSCAR:
```
Cs3Li2NpCl9
1.0
7.574 0.000 0.000
-3.787 6.559 0.000
0.000 0.000 9.630
Cs Li Np Cl
3 2 1 9
Direct
0.333 0.667 0.694 Cs
0.000 0.000 0.000 Cs
0.667 0.333 0.306 Cs
0.333 0.667 0.088 Li
0.667 0.333 0.912 Li
0.000 0.000 0.500 Np
0.837 0.163 0.657 Cl
0.837 0.675 0.657 Cl
0.325 0.163 0.657 Cl
0.675 0.837 0.343 Cl
0.163 0.325 0.343 Cl
0.163 0.837 0.343 Cl
0.500 0.000 0.000 Cl
0.000 0.500 0.000 Cl
0.500 0.500 0.000 Cl
```

Properties
- E_form (uncorrected) (kJ per mole of atoms) = -180.4

The following is a DFT calculation (PBE) of an optimized crystal structure of HfB2Pt.

Geometry as POSCAR:
```
HfB2Pt
1.0
3.907 0.000 0.000
0.000 3.907 0.000
1.954 1.954 7.334
B Hf Pt
4 2 2
Direct
0.875 0.125 0.250 B
0.875 0.625 0.250 B
0.375 0.125 0.750 B
0.875 0.125 0.750 B
0.500 0.500 0.000 Hf
0.250 0.750 0.500 Hf
0.000 0.000 0.000 Pt
0.750 0.250 0.500 Pt
```

Properties
- calculated formation energy (eV per atom) = -0.083

The following is a DFT calculation (PBE) of an optimized crystal structure of TbPm2Dy2.

Geometry as POSCAR:
```
TbPm2Dy2
1.0
-1.225 -5.275 3.255
1.089 -6.989 -4.784
7.056 -6.388 -1.564
Tb Pm Dy
2 4 4
Direct
0.583 0.750 0.250 Tb
0.417 0.250 0.750 Tb
0.784 0.751 0.850 Pm
0.385 0.749 0.650 Pm
0.216 0.249 0.150 Pm
0.615 0.251 0.350 Pm
0.819 0.245 0.951 Dy
0.015 0.255 0.549 Dy
0.181 0.755 0.049 Dy
0.985 0.745 0.451 Dy
```

Properties
- calculated formation energy (eV per atom) = 0.020

The following is a DFT calculation (PBE) of an optimized crystal structure of MgNp2CuO8.

Geometry as POSCAR:
```
MgNp2CuO8
1.0
5.169 0.000 0.000
0.000 5.169 0.000
-2.585 -2.585 5.275
Mg Np Cu O
1 2 1 8
Direct
0.000 0.000 0.000 Mg
0.500 0.500 0.000 Np
0.250 0.750 0.500 Np
0.750 0.250 0.500 Cu
0.871 0.893 0.342 O
0.470 0.449 0.342 O
0.631 0.722 0.840 O
0.209 0.118 0.840 O
0.882 0.369 0.160 O
0.278 0.791 0.160 O
0.107 0.530 0.658 O
0.551 0.129 0.658 O
```

Properties
- E_form (uncorrected) (kJ per mole of atoms) = -215.5

The following is a DFT calculation (PBE) of an optimized crystal structure of Ac2Zn5In.

Geometry as POSCAR:
```
Ac2Zn5In
1.0
6.589 -0.051 -0.073
-3.289 5.710 0.073
-3.289 -1.874 5.394
Ac Zn In
2 5 1
Direct
0.500 0.246 0.746 Ac
0.500 0.746 0.246 Ac
0.394 0.693 0.693 Zn
0.000 0.693 0.300 Zn
0.000 0.300 0.693 Zn
0.606 0.300 0.300 Zn
0.000 0.274 0.274 Zn
0.000 0.971 0.971 In
```

Properties
- calculated formation energy (eV per atom) = -0.184

The following is a DFT calculation (PBE) of an optimized crystal structure of La2TcBr.

Geometry as POSCAR:
```
La2TcBr
1.0
-5.065 -0.599 0.717
-2.081 -4.709 -0.135
-1.749 -2.168 4.332
Tc Br La
1 1 2
Direct
0.750 0.750 0.750 Tc
0.500 0.500 0.500 Br
0.000 0.000 0.000 La
0.250 0.250 0.250 La
```

Properties
- E_form (uncorrected) (kJ per mole of atoms) = 25.0

The following is a DFT calculation (PBE) of an optimized crystal structure of Li4SmSc.

Geometry as POSCAR:
```
Li4SmSc
1.0
-1.956 5.390 0.224
-5.184 1.261 -2.113
-4.297 1.347 3.556
Sc Sm Li
1 1 4
Direct
0.000 0.000 0.000 Sc
0.250 0.250 0.250 Sm
0.626 0.626 0.122 Li
0.626 0.122 0.626 Li
0.626 0.626 0.626 Li
0.122 0.626 0.626 Li
```

Properties
- calculated formation energy (eV per atom) = 0.140

The following is a DFT calculation (PBE) of an optimized crystal structure of Os2ICl.

Geometry as POSCAR:
```
Os2ICl
1.0
0.000 3.243 3.243
3.243 0.000 3.243
3.243 3.243 0.000
I Os Cl
1 2 1
Direct
0.500 0.500 0.500 I
0.250 0.250 0.250 Os
0.750 0.750 0.750 Os
0.000 0.000 0.000 Cl
```

Properties
- E_form (uncorrected) (kJ per mole of atoms) = 166.0

The following is a DFT calculation (PBE) of an optimized crystal structure of SmHgO3.

Geometry as POSCAR:
```
SmHgO3
1.0
-1.219 1.944 2.944
-5.458 0.011 -2.268
-0.847 -7.151 2.005
Sm Hg O
2 2 6
Direct
0.307 0.750 0.614 Sm
0.693 0.250 0.386 Sm
0.943 0.250 0.885 Hg
0.057 0.750 0.115 Hg
0.824 0.999 0.647 O
0.176 0.499 0.353 O
0.526 0.250 0.051 O
0.176 0.001 0.353 O
0.824 0.501 0.647 O
0.474 0.750 0.949 O
```

Properties
- E_form (uncorrected) (kJ per mole of atoms) = -156.3

The following is a DFT calculation (PBE) of an optimized crystal structure of KLiB2Br8.

Geometry as POSCAR:
```
KLiB2Br8
1.0
-4.116 1.559 4.715
-6.351 -0.022 -1.125
-3.931 -8.756 3.876
K Li B Br
1 1 2 8
Direct
0.500 0.500 0.500 K
0.000 0.000 0.000 Li
0.252 0.252 0.245 B
0.748 0.748 0.755 B
0.182 0.182 0.455 Br
0.572 0.279 0.178 Br
0.818 0.818 0.545 Br
0.971 0.572 0.178 Br
0.029 0.428 0.822 Br
0.279 0.971 0.178 Br
0.721 0.029 0.822 Br
0.428 0.721 0.822 Br
```

Properties
- E_form (uncorrected) (kJ per mole of atoms) = -81.4

The following is a DFT calculation (PBE) of an optimized crystal structure of BaSrCdCl.

Geometry as POSCAR:
```
BaSrCdCl
1.0
-2.403 -0.695 -5.320
-1.990 -5.277 -1.660
-5.781 -0.933 -0.515
Sr Cl Ba Cd
1 1 1 1
Direct
0.000 0.000 0.000 Sr
0.750 0.750 0.750 Cl
0.500 0.500 0.500 Ba
0.250 0.250 0.250 Cd
```

Properties
- E_form (uncorrected) (kJ per mole of atoms) = -74.4

The following is a DFT calculation (PBE) of an optimized crystal structure of Mg2Bi2Pd.

Geometry as POSCAR:
```
Mg2Bi2Pd
1.0
3.880 0.000 0.000
0.000 3.880 0.000
1.940 1.940 8.439
Mg Bi Pd
2 2 1
Direct
0.750 0.250 0.500 Mg
0.250 0.750 0.500 Mg
0.405 0.405 0.190 Bi
0.595 0.595 0.810 Bi
0.000 0.000 0.000 Pd
```

Properties
- calculated formation energy (eV per atom) = 0.151

What did the eleventh record say?
The following is a DFT calculation (PBE) of an optimized crystal structure of BaSrCdCl.

Geometry as POSCAR:
```
BaSrCdCl
1.0
-2.403 -0.695 -5.320
-1.990 -5.277 -1.660
-5.781 -0.933 -0.515
Sr Cl Ba Cd
1 1 1 1
Direct
0.000 0.000 0.000 Sr
0.750 0.750 0.750 Cl
0.500 0.500 0.500 Ba
0.250 0.250 0.250 Cd
```

Properties
- E_form (uncorrected) (kJ per mole of atoms) = -74.4